No. 1
Here is a relaxed structure of Gd3Cd5O12 from Alexandria. Energies are from PBE.

For the total energy, the calculation gives -6.8763 eV/atom. The calculation puts the density of states at the Fermi level at 142.10 states/eV/cell.

The space group is Ia-3d (No. 230) and the conventional cell measures 13.333, 13.333 and 13.333 Å, with angles of 90.00, 90.00 and 90.00 degrees. The asymmetric unit holds Gd at (0.000, 0.250, 0.125), Cd at (0.000, 0.000, 0.000), Cd at (0.000, 0.250, 0.375) and O at (0.015, 0.069, 0.654).

***

No. 2
Here is a relaxed structure of ThScSn2 from Alexandria. Energies are from PBE.

For the total energy, the calculation gives -5.9445 eV/atom. The offset from the most stable computed form comes out at 14.9 meV per atom. The calculation puts the density of states at the Fermi level at 4.29 states/eV/cell.

The space group is P4/mmm (No. 123) and the conventional cell measures 4.824, 4.824 and 4.486 Å, with angles of 90.00, 90.00 and 90.00 degrees. The asymmetric unit holds Th at (0.000, 0.000, 0.000), Sc at (0.500, 0.500, 0.000) and Sn at (0.000, 0.500, 0.500).

***

No. 3
Here is a relaxed structure of Hf2TePb2 from Alexandria. Energies are from PBE.

For the total energy, the calculation gives -6.1538 eV/atom. The calculation puts the density of states at the Fermi level at 8.35 states/eV/cell.

The space group is P4/mbm (No. 127) and the conventional cell measures 7.681, 7.681 and 4.304 Å, with angles of 90.00, 90.00 and 90.00 degrees. The asymmetric unit holds Hf at (0.145, 0.355, 0.000), Te at (0.000, 0.000, 0.000) and Pb at (0.155, 0.655, 0.500).

***

No. 4
Here is a relaxed structure of Cs2NbClF6 from Alexandria. Energies are from PBE.

For the total energy, the calculation gives -5.3352 eV/atom. The offset from the most stable computed form comes out at 0.0 meV per atom. The calculation puts the density of states at the Fermi level at 0.00 states/eV/cell.

The space group is P-1 (No. 2) and the conventional cell measures 5.613, 6.269 and 8.457 Å, with angles of 111.14, 90.42 and 116.02 degrees. The asymmetric unit holds Cs at (0.206, 0.409, 0.181), Nb at (0.000, 0.000, 0.500), Cl at (0.500, 0.000, 0.000), F at (0.102, 0.217, 0.748), F at (0.132, 0.781, 0.537) and F at (0.351, 0.220, 0.470).